## NdDyNp2Se4 (PBE-GGA)

Data for a geometry-optimized NdDyNp2Se4 structure.

Cell lengths 7.1452, 4.1218, 7.1594 Å; angles 90.00, 109.38, 90.00 degrees
Closest atoms and distances in Å follow each position.
Space group P2/m (No. 10)
Unique sites:
Nd (0.0000, 0.0000, 0.0000) (multiplicity 1)  6 Se 2.96
Dy (0.0000, 0.5000, 0.5000) (multiplicity 1)  6 Se 2.91
Np (0.5000, 0.0000, 0.5000) (multiplicity 1)  6 Se 2.88
Np (0.5000, 0.5000, 0.0000) (multiplicity 1)  6 Se 2.93
Se (0.2513, 0.0000, 0.7446) (multiplicity 2)  3 Np 2.88-2.93, 2 Dy 2.91, 1 Nd 2.96
Se (0.2562, 0.5000, 0.2577) (multiplicity 2)  3 Np 2.88-2.93, 1 Dy 2.91, 2 Nd 2.96

DOS at the Fermi energy (states/eV/atom): 2.2884
E (eV per atom): -7.586
Theoretical density (kg/m³): 9155
Calculated volume (Å³ per cell): 198.9



## Nd2DyO (PBE-GGA)

Data for a geometry-optimized Nd2DyO structure.

Cell lengths 3.2587, 3.2587, 9.1042 Å; angles 90.00, 90.00, 90.00 degrees
Closest atoms and distances in Å follow each position.
Space group P4/mmm (No. 123)
Unique sites:
Nd (0.0000, 0.0000, 0.1716) (multiplicity 2)  4 O 2.78
Dy (0.5000, 0.5000, 0.5000) (multiplicity 1)  4 Dy 3.26
O (0.5000, 0.5000, 0.0000) (multiplicity 1)  8 Nd 2.78

DOS at the Fermi energy (states/eV/atom): 1.2606
Relative energy among the computed polymorphs (eV per formula unit): 1.24
Theoretical density (kg/m³): 8021
Calculated volume (Å³ per cell): 96.7



## NdDy2O (PBE-GGA)

Data for a geometry-optimized NdDy2O structure.

Cell lengths 3.4904, 3.4904, 28.3319 Å; angles 90.00, 90.00, 120.00 degrees
Closest atoms and distances in Å follow each position.
Space group R-3m (No. 166, hexagonal axes)
Unique sites:
Nd (0.0000, 0.0000, 0.0000) (multiplicity 3)  2 Dy 3.41, 6 Nd 3.49
Dy (0.0000, 0.0000, 0.1203) (multiplicity 6)  3 O 2.41
O (0.0000, 0.0000, 0.5000) (multiplicity 3)  6 Dy 2.41

DOS at the Fermi energy (states/eV/atom): 1.0537
Relative energy among the computed polymorphs (eV per formula unit): 0.00
Theoretical density (kg/m³): 8087
Calculated volume (Å³ per cell): 298.9



## NdDyO2 (PBE-GGA)

Data for a geometry-optimized NdDyO2 structure.

Cell lengths 3.4580, 3.4580, 18.0929 Å; angles 90.00, 90.00, 120.00 degrees
Closest atoms and distances in Å follow each position.
Space group R3m (No. 160, hexagonal axes)
Unique sites:
Nd (0.0000, 0.0000, 0.0000) (multiplicity 3)  6 O 2.59-2.72
Dy (0.0000, 0.0000, 0.1773) (multiplicity 3)  6 O 2.31-2.42
O (0.0000, 0.0000, 0.5751) (multiplicity 3)  3 Dy 2.31
O (0.0000, 0.0000, 0.7686) (multiplicity 3)  3 Dy 2.42

DOS at the Fermi energy (states/eV/atom): 0.1302
Relative energy among the computed polymorphs (eV per formula unit): 0.51
Theoretical density (kg/m³): 9006
Calculated volume (Å³ per cell): 187.4



## NdDy3O (PBE-GGA)

Data for a geometry-optimized NdDy3O structure.

Cell lengths 4.9700, 4.9700, 4.9700 Å; angles 90.00, 90.00, 90.00 degrees
Closest atoms and distances in Å follow each position.
Space group Pm-3m (No. 221)
Unique sites:
Nd (0.0000, 0.0000, 0.0000) (multiplicity 1)  12 Dy 3.51
Dy (0.0000, 0.5000, 0.5000) (multiplicity 3)  2 O 2.49
O (0.5000, 0.5000, 0.5000) (multiplicity 1)  6 Dy 2.49

DOS at the Fermi energy (states/eV/atom): 1.3793
E (eV per atom): -5.780
Theoretical density (kg/m³): 8761
Calculated volume (Å³ per cell): 122.8



## Nd2DyO (PBE-GGA)

Data for a geometry-optimized Nd2DyO structure.

Cell lengths 3.6382, 3.6382, 27.9683 Å; angles 90.00, 90.00, 120.00 degrees
Closest atoms and distances in Å follow each position.
Space group R-3m (No. 166, hexagonal axes)
Unique sites:
Nd (0.0000, 0.0000, 0.1183) (multiplicity 6)  3 O 2.50
Dy (0.0000, 0.0000, 0.0000) (multiplicity 3)  2 Nd 3.31, 6 Dy 3.64
O (0.0000, 0.0000, 0.5000) (multiplicity 3)  6 Nd 2.50

DOS at the Fermi energy (states/eV/atom): 1.1967
Relative energy among the computed polymorphs (eV per formula unit): 0.00
Theoretical density (kg/m³): 7256
Calculated volume (Å³ per cell): 320.6



## NdDyO2 (PBE-GGA)

Data for a geometry-optimized NdDyO2 structure.

Cell lengths 3.6158, 3.6158, 20.2183 Å; angles 90.00, 90.00, 120.00 degrees
Closest atoms and distances in Å follow each position.
Space group R-3m (No. 166, hexagonal axes)
Unique sites:
Nd (0.0000, 0.0000, 0.0000) (multiplicity 3)  2 O 2.32
Dy (0.0000, 0.0000, 0.5000) (multiplicity 3)  6 O 2.34
O (0.0000, 0.0000, 0.1147) (multiplicity 6)  1 Nd 2.32, 3 Dy 2.34

DOS at the Fermi energy (states/eV/atom): 0.0800
Relative energy among the computed polymorphs (eV per formula unit): 0.00
Theoretical density (kg/m³): 7372
Calculated volume (Å³ per cell): 228.9



## NdDy2O (PBE-GGA)

Data for a geometry-optimized NdDy2O structure.

Cell lengths 3.2017, 3.2017, 8.8682 Å; angles 90.00, 90.00, 90.00 degrees
Closest atoms and distances in Å follow each position.
Space group P4/mmm (No. 123)
Unique sites:
Nd (0.0000, 0.0000, 0.0000) (multiplicity 1)  4 Nd 3.20
Dy (0.5000, 0.5000, 0.3266) (multiplicity 2)  4 O 2.74
O (0.0000, 0.0000, 0.5000) (multiplicity 1)  8 Dy 2.74

DOS at the Fermi energy (states/eV/atom): 1.2150
Relative energy among the computed polymorphs (eV per formula unit): 1.66
Theoretical density (kg/m³): 8864
Calculated volume (Å³ per cell): 90.9



## NdDyOsO6 (PBE-GGA)

Data for a geometry-optimized NdDyOsO6 structure.

Cell lengths 5.5364, 5.5364, 9.9067 Å; angles 90.00, 90.00, 120.00 degrees
Closest atoms and distances in Å follow each position.
Space group P-31c (No. 163)
Unique sites:
Nd (0.0000, 0.0000, 0.0000) (multiplicity 2)  6 O 2.41
Dy (0.3333, 0.6667, 0.2500) (multiplicity 2)  6 O 2.26
Os (0.3333, 0.6667, 0.7500) (multiplicity 2)  6 O 1.95
O (0.0428, 0.3764, 0.6388) (multiplicity 12)  1 Os 1.95

DOS at the Fermi energy (states/eV/atom): 0.5197
E (eV per atom): -7.935
Theoretical density (kg/m³): 7488
Calculated volume (Å³ per cell): 263.0



## Nd2DyOsO8 (PBE-GGA)

Data for a geometry-optimized Nd2DyOsO8 structure.

Cell lengths 5.1705, 6.9211, 5.1740 Å; angles 90.00, 90.55, 90.00 degrees
Closest atoms and distances in Å follow each position.
Space group P2/m (No. 10)
Unique sites:
Nd (0.0000, 0.2493, 0.0000) (multiplicity 2)  6 O 2.25-2.49
Dy (0.5000, 0.0000, 0.5000) (multiplicity 1)  6 O 2.20-2.40
Os (0.5000, 0.5000, 0.5000) (multiplicity 1)  6 O 1.86-1.94
O (0.1987, 0.0000, 0.1973) (multiplicity 2)  1 Dy 2.20, 2 Nd 2.25
O (0.2453, 0.5000, 0.2440) (multiplicity 2)  1 Os 1.86
O (0.3226, 0.2911, 0.6764) (multiplicity 4)  1 Os 1.94

DOS at the Fermi energy (states/eV/atom): 0.1465
E (eV per atom): -7.856
Theoretical density (kg/m³): 6899
Calculated volume (Å³ per cell): 185.1



## Nd2Dy4Pb3O2 (PBE-GGA)

Data for a geometry-optimized Nd2Dy4Pb3O2 structure.

Cell lengths 4.6913, 4.6913, 25.8332 Å; angles 90.00, 90.00, 90.00 degrees
Closest atoms and distances in Å follow each position.
Space group I4/mmm (No. 139)
Unique sites:
Nd (0.0000, 0.0000, 0.1945) (multiplicity 4)  1 O 2.60
Dy (0.0000, 0.5000, 0.0824) (multiplicity 8)  2 O 2.36
Pb (0.0000, 0.0000, 0.3240) (multiplicity 4)  5 Nd 3.34-3.35, 4 Dy 3.37
Pb (0.0000, 0.0000, 0.5000) (multiplicity 2)  8 Dy 3.17
O (0.0000, 0.0000, 0.0939) (multiplicity 4)  4 Dy 2.36, 1 Nd 2.60

DOS at the Fermi energy (states/eV/atom): 0.7060
E (eV per atom): -5.863
Theoretical density (kg/m³): 9300
Calculated volume (Å³ per cell): 568.5



## Nd4Dy2Pb3O2 (PBE-GGA)

Data for a geometry-optimized Nd4Dy2Pb3O2 structure.

Cell lengths 4.8290, 4.8290, 25.7836 Å; angles 90.00, 90.00, 90.00 degrees
Closest atoms and distances in Å follow each position.
Space group I4/mmm (No. 139)
Unique sites:
Nd (0.0000, 0.5000, 0.0844) (multiplicity 8)  2 O 2.48
Dy (0.0000, 0.0000, 0.1935) (multiplicity 4)  1 O 2.24
Pb (0.0000, 0.0000, 0.3183) (multiplicity 4)  5 Dy 3.22-3.43, 4 Nd 3.48
Pb (0.0000, 0.0000, 0.5000) (multiplicity 2)  8 Nd 3.25
O (0.0000, 0.0000, 0.1065) (multiplicity 4)  1 Dy 2.24, 4 Nd 2.48

DOS at the Fermi energy (states/eV/atom): 0.3804
E (eV per atom): -5.828
Theoretical density (kg/m³): 8592
Calculated volume (Å³ per cell): 601.3



## NdDyPuO6 (PBE-GGA)

Data for a geometry-optimized NdDyPuO6 structure.

Cell lengths 5.7752, 5.7752, 9.7662 Å; angles 90.00, 90.00, 120.00 degrees
Closest atoms and distances in Å follow each position.
Space group P-31c (No. 163)
Unique sites:
Nd (0.0000, 0.0000, 0.0000) (multiplicity 2)  6 O 2.43
Dy (0.3333, 0.6667, 0.2500) (multiplicity 2)  6 O 2.28
Pu (0.3333, 0.6667, 0.7500) (multiplicity 2)  6 O 2.08
O (0.0258, 0.3643, 0.6368) (multiplicity 12)  1 Pu 2.08, 1 Dy 2.28

DOS at the Fermi energy (states/eV/atom): 0.8395
E (eV per atom): -8.979
Theoretical density (kg/m³): 7614
Calculated volume (Å³ per cell): 282.1



## NdDySO2 (PBE-GGA)

Data for a geometry-optimized NdDySO2 structure.

Cell lengths 3.8466, 3.8466, 12.2044 Å; angles 90.00, 90.00, 90.00 degrees
Closest atoms and distances in Å follow each position.
Space group I4mm (No. 107)
Unique sites:
Nd (0.0000, 0.0000, 0.0000) (multiplicity 2)  4 O 2.32
Dy (0.0000, 0.0000, 0.6962) (multiplicity 2)  4 O 2.22
S (0.0000, 0.0000, 0.3525) (multiplicity 2)  4 Nd 3.26, 4 Dy 3.32, 8 O 3.57-3.64
O (0.0000, 0.5000, 0.1060) (multiplicity 4)  2 Dy 2.22, 2 Nd 2.32

DOS at the Fermi energy (states/eV/atom): 0.0000
E (eV per atom): -7.688
Theoretical density (kg/m³): 6820
Calculated volume (Å³ per cell): 180.6



## NdDySbO2 (PBE-GGA)

Data for a geometry-optimized NdDySbO2 structure.

Cell lengths 3.9248, 3.9248, 13.6128 Å; angles 90.00, 90.00, 90.00 degrees
Closest atoms and distances in Å follow each position.
Space group I4mm (No. 107)
Unique sites:
Nd (0.0000, 0.0000, 0.0000) (multiplicity 2)  4 O 2.33
Dy (0.0000, 0.0000, 0.3293) (multiplicity 2)  4 O 2.24
Sb (0.0000, 0.0000, 0.6660) (multiplicity 2)  4 Dy 3.56, 4 Nd 3.58, 4 O 3.84, 4 Sb 3.92
O (0.0000, 0.5000, 0.4083) (multiplicity 4)  2 Dy 2.24, 2 Nd 2.33

DOS at the Fermi energy (states/eV/atom): 0.3047
E (eV per atom): -7.329
Theoretical density (kg/m³): 7293
Calculated volume (Å³ per cell): 209.7



## NdDy2SbO8 (PBE-GGA)

Data for a geometry-optimized NdDy2SbO8 structure.

Cell lengths 4.1388, 7.4000, 5.2549 Å; angles 90.00, 94.02, 90.00 degrees
Closest atoms and distances in Å follow each position.
Space group P2/m (No. 10)
Unique sites:
Nd (0.0000, 0.0000, 0.0000) (multiplicity 1)  8 O 2.38-2.57
Dy (0.5000, 0.2569, 0.5000) (multiplicity 2)  6 O 2.29-2.38
Sb (0.0000, 0.5000, 0.0000) (multiplicity 1)  6 O 2.02-2.05
O (0.0504, 0.2874, 0.7547) (multiplicity 4)  1 Sb 2.05
O (0.4236, 0.5000, 0.2142) (multiplicity 2)  1 Sb 2.02
O (0.4953, 0.0000, 0.2580) (multiplicity 2)  2 Dy 2.29, 1 Nd 2.38, 1 O 2.54

DOS at the Fermi energy (states/eV/atom): 0.5207
E (eV per atom): -7.266
Theoretical density (kg/m³): 7437
Calculated volume (Å³ per cell): 160.5



## NdDySb2O8 (PBE-GGA)

Data for a geometry-optimized NdDySb2O8 structure.

Cell lengths 5.3260, 5.3260, 11.4005 Å; angles 90.00, 90.00, 90.00 degrees
Closest atoms and distances in Å follow each position.
Space group I-4 (No. 82)
Unique sites:
Nd (0.0000, 0.0000, 0.0000) (multiplicity 2)  8 O 2.42-2.49
Dy (0.0000, 0.5000, 0.7500) (multiplicity 2)  8 O 2.36-2.43
Sb (0.0000, 0.0000, 0.5000) (multiplicity 2)  4 O 1.92
Sb (0.0000, 0.5000, 0.2500) (multiplicity 2)  4 O 1.92
O (0.1719, 0.2527, 0.5899) (multiplicity 8)  1 Sb 1.92
O (0.1829, 0.7512, 0.1640) (multiplicity 8)  1 Sb 1.92

DOS at the Fermi energy (states/eV/atom): 0.0000
E (eV per atom): -7.088
Theoretical density (kg/m³): 6965
Calculated volume (Å³ per cell): 323.4



## NdDySe2O (PBE-GGA)

Data for a geometry-optimized NdDySe2O structure.

Cell lengths 4.0516, 4.0516, 14.6177 Å; angles 90.00, 90.00, 90.00 degrees
Closest atoms and distances in Å follow each position.
Space group P4/nmm (No. 129, origin choice 2)
Unique sites:
Nd (0.2500, 0.2500, 0.0815) (multiplicity 2)  4 O 2.35
Dy (0.2500, 0.2500, 0.6240) (multiplicity 2)  5 Se 2.63-2.91
Se (0.2500, 0.2500, 0.4109) (multiplicity 2)  5 Dy 2.91-3.12
Se (0.2500, 0.2500, 0.8038) (multiplicity 2)  1 Dy 2.63
O (0.2500, 0.7500, 0.0000) (multiplicity 2)  4 Nd 2.35

DOS at the Fermi energy (states/eV/atom): 0.1863
E (eV per atom): -6.642
Theoretical density (kg/m³): 6653
Calculated volume (Å³ per cell): 240.0



## Nd2DySe2O2 (PBE-GGA)

Data for a geometry-optimized Nd2DySe2O2 structure.

Cell lengths 4.3296, 4.3296, 15.6238 Å; angles 90.00, 90.00, 90.00 degrees
Closest atoms and distances in Å follow each position.
Space group I4/mmm (No. 139)
Unique sites:
Nd (0.0000, 0.0000, 0.1271) (multiplicity 4)  4 O 2.94, 5 Se 3.00-3.17
Dy (0.0000, 0.0000, 0.5000) (multiplicity 2)  4 O 2.16
Se (0.0000, 0.0000, 0.3194) (multiplicity 4)  1 Dy 2.82, 1 Nd 3.00
O (0.0000, 0.5000, 0.0000) (multiplicity 4)  2 Dy 2.16

DOS at the Fermi energy (states/eV/atom): 0.3920
E (eV per atom): -6.798
Theoretical density (kg/m³): 7267
Calculated volume (Å³ per cell): 292.9



## NdDySeO2 (PBE-GGA)

Data for a geometry-optimized NdDySeO2 structure.

Cell lengths 6.6277, 4.0889, 7.7573 Å; angles 90.00, 107.94, 90.00 degrees
Closest atoms and distances in Å follow each position.
Space group P2_1/m (No. 11)
Unique sites:
Nd (0.1894, 0.2500, 0.4277) (multiplicity 2)  4 O 2.32-2.40
Dy (0.1724, 0.2500, 0.9191) (multiplicity 2)  4 O 2.22-2.27
Se (0.4527, 0.7500, 0.7464) (multiplicity 2)  3 Dy 2.99-3.31, 3 Nd 3.07-3.27
O (0.0147, 0.7500, 0.8864) (multiplicity 2)  3 Dy 2.23-2.27, 1 Nd 2.40
O (0.0165, 0.7500, 0.3716) (multiplicity 2)  1 Dy 2.22, 3 Nd 2.32-2.37

DOS at the Fermi energy (states/eV/atom): 0.0000
E (eV per atom): -7.608
Theoretical density (kg/m³): 6936
Calculated volume (Å³ per cell): 200.0